# 1
Entry from OQMD via LeMat-Bulk: an optimized crystal structure of NdAl5CoPd (PBE).

a b c (Å): 6.3866 6.3866 6.3866
angles (deg): 143.23 111.46 80.40
With the nearest neighbours (Å) after each atom.
Fractional coordinates of all 8 atoms:
Co: 0.7383 0.2383 0.5000  7 Al 2.28-2.52
Al: 0.5452 0.3454 0.1998  1 Co 2.40, 2 Pd 2.62
Al: 0.8399 0.6583 0.1816  1 Pd 2.49, 2 Co 2.52, 1 Al 2.61
Al: 0.5050 0.0050 0.5000  1 Co 2.28, 1 Pd 2.41
Al: 0.1455 0.3454 0.8002  1 Co 2.40, 2 Pd 2.62
Al: 0.4767 0.6583 0.8184  1 Pd 2.49, 2 Co 2.52, 1 Al 2.61
Nd: 0.9914 0.9914 0.0000  2 Co 3.19, 10 Al 3.28-3.50, 2 Pd 3.29
Pd: 0.2580 0.7580 0.5000  7 Al 2.41-2.62

E, eV per atom: -5.07
Space-group type: Imm2
Total moment, μB per atom: 0.0002

***

# 2
Entry from OQMD via LeMat-Bulk: an optimized crystal structure of PrNdAl4Co2 (PBE).

a b c (Å): 7.0374 5.6592 5.6592
angles (deg): 42.34 90.00 90.00
With the nearest neighbours (Å) after each atom.
Fractional coordinates of all 8 atoms:
Nd: 0.0000 0.5546 0.5546  3 Co 2.86-3.17
Al: 0.3068 0.1695 0.1695  3 Co 2.47-2.50, 1 Al 2.72
Al: 0.1918 0.8304 0.8304  3 Co 2.48-2.50, 3 Al 2.70-2.78
Al: 0.8082 0.8304 0.8304  3 Co 2.48-2.50, 3 Al 2.70-2.78
Al: 0.6932 0.1695 0.1695  3 Co 2.47-2.50, 1 Al 2.72
Co: 0.0000 0.2837 0.2837  6 Al 2.47-2.50
Co: 0.5000 0.7164 0.7164  6 Al 2.48-2.50
Pr: 0.5000 0.4455 0.4455  3 Co 2.86-3.17

E, eV per atom: -5.31
Space-group type: Amm2
Total moment, μB per atom: 0.0004

***

# 3
Entry from OQMD via LeMat-Bulk: an optimized crystal structure of PrNdAl2Co4 (PBE).

a b c (Å): 4.1626 4.1626 9.6369
angles (deg): 90.00 90.00 120.00
With the nearest neighbours (Å) after each atom.
Fractional coordinates of all 8 atoms:
Co: 0.3333 0.6667 0.7834  3 Al 2.42, 3 Co 2.48
Co: 0.0000 0.0000 0.7204  3 Al 2.42, 3 Co 2.48, 1 Nd 2.69
Co: 0.3333 0.6667 0.2166  3 Al 2.42, 3 Co 2.48
Co: 0.0000 0.0000 0.2796  3 Al 2.42, 3 Co 2.48, 1 Nd 2.69
Al: 0.6667 0.3333 0.7516  6 Co 2.42
Al: 0.6667 0.3333 0.2484  6 Co 2.42
Nd: 0.0000 0.0000 0.0000  2 Co 2.69
Pr: 0.3333 0.6667 0.5000  2 Co 2.73

E, eV per atom: -5.92
Space-group type: P-6m2
Total moment, μB per atom: 0.2319

***

# 4
Entry from OQMD via LeMat-Bulk: an optimized crystal structure of NdSm2Al2Co4 (PBE).

a b c (Å): 5.4549 5.4549 8.2790
angles (deg): 98.20 98.20 43.63
With the nearest neighbours (Å) after each atom.
Fractional coordinates of all 9 atoms:
Nd: 0.0000 0.0000 0.0000  6 Co 2.84-3.13
Co: 0.7370 0.7370 0.0803  3 Al 2.43-2.48, 2 Co 2.46
Co: 0.0845 0.0845 0.6291  2 Al 2.48, 2 Co 2.53-2.78
Co: 0.2630 0.2630 0.9197  3 Al 2.43-2.48, 2 Co 2.46
Co: 0.9155 0.9155 0.3709  2 Al 2.48, 2 Co 2.53-2.78
Sm: 0.3738 0.3738 0.6215  6 Co 2.86-2.98, 1 Al 3.14
Sm: 0.6262 0.6262 0.3785  6 Co 2.86-2.98, 1 Al 3.14
Al: 0.3236 0.3236 0.2213  5 Co 2.43-2.48
Al: 0.6764 0.6764 0.7787  5 Co 2.43-2.48

E, eV per atom: -5.86
Space-group type: C2/m
Total moment, μB per atom: 0.0006

***

# 5
Entry from OQMD via LeMat-Bulk: an optimized crystal structure of AlCoNi (PBE).

a b c (Å): 3.8687 3.8687 3.8687
angles (deg): 60.00 60.00 60.00
With the nearest neighbours (Å) after each atom.
Fractional coordinates of all 3 atoms:
Co: 0.7500 0.7500 0.7500  4 Ni 2.37
Ni: 0.0000 0.0000 0.0000  4 Co 2.37, 4 Al 2.37
Al: 0.2500 0.2500 0.2500  4 Ni 2.37

E, eV per atom: -5.45
Space-group type: F-43m
Total moment, μB per atom: 0.5404

***

# 6
Entry from OQMD via LeMat-Bulk: an optimized crystal structure of Al2CoNi (PBE).

a b c (Å): 4.1066 4.1066 4.1066
angles (deg): 60.00 60.00 60.00
With the nearest neighbours (Å) after each atom.
Fractional coordinates of all 4 atoms:
Al: 0.5000 0.5000 0.5000  4 Co 2.51, 4 Al 2.51
Al: 0.2500 0.2500 0.2500  4 Ni 2.51, 4 Al 2.51
Co: 0.7500 0.7500 0.7500  4 Ni 2.51, 4 Al 2.51
Ni: 0.0000 0.0000 0.0000  4 Al 2.51, 4 Co 2.51

E, eV per atom: -5.29
Space-group type: F-43m
Total moment, μB per atom: 0.0173